(1)
Compound: Cs5Rb2Na5
Source: the Alexandria database
Functional: GGA-PBE
Structure: relaxed

Output
The symmetry is No. 2. The density of states at the Fermi level comes out at 7.453 states/eV per cell. The value obtained for the formation energy is 0.017 eV per atom.

Cell lengths 7.3360, 7.3036, 19.9337 Å; angles 79.45, 79.35, 60.20 degrees
Last column: nearest neighbours and their distance in Å.
Fractional positions:
Cs (0.5000, 0.5000, 0.5000)  6 Na 4.39-4.40
Cs (0.3111, 0.3111, 0.0672)  7 Na 4.42-4.87
Cs (0.2222, 0.2198, 0.3389)  4 Na 4.33-4.68
Cs (0.7778, 0.7802, 0.6611)  4 Na 4.33-4.68
Cs (0.6889, 0.6889, 0.9328)  7 Na 4.42-4.87
Rb (0.0718, 0.0710, 0.7853)  5 Na 4.18-4.37
Rb (0.9282, 0.9290, 0.2147)  5 Na 4.18-4.37
Na (0.8563, 0.8537, 0.4389)  7 Cs 4.33-4.68, 1 Rb 4.37, 1 Na 4.82
Na (0.3949, 0.3935, 0.8172)  3 Rb 4.27-4.29
Na (0.6051, 0.6065, 0.1829)  3 Rb 4.27-4.29
Na (0.1437, 0.1463, 0.5611)  7 Cs 4.33-4.68, 1 Rb 4.37, 1 Na 4.82
Na (0.0000, 0.0000, 0.0000)  2 Rb 4.18, 6 Cs 4.42-4.44

(2)
Compound: Cs2Rb4Na
Source: the Alexandria database
Functional: GGA-PBE
Structure: relaxed

Output
The symmetry is No. 11. The density of states at the Fermi level comes out at 11.920 states/eV per cell. The value obtained for the formation energy is 0.025 eV per atom.

Cell lengths 8.4500, 9.0986, 17.6610 Å; angles 90.00, 109.87, 90.00 degrees
Last column: nearest neighbours and their distance in Å.
Fractional positions:
Cs (0.6730, 0.7500, 0.0236)  2 Na 4.34-4.49, 1 Rb 4.82
Cs (0.3270, 0.2500, 0.9764)  2 Na 4.34-4.49, 1 Rb 4.82
Cs (0.2206, 0.2500, 0.4574)  7 Rb 5.00-5.49
Cs (0.7794, 0.7500, 0.5426)  7 Rb 5.00-5.49
Rb (0.5908, 0.4908, 0.2758)  1 Na 4.29, 2 Rb 4.38-4.72
Rb (0.9997, 0.7500, 0.8468)  1 Na 4.23
Rb (0.0003, 0.2500, 0.1532)  1 Na 4.23
Rb (0.5908, 0.0092, 0.2758)  1 Na 4.29, 2 Rb 4.38-4.72
Rb (0.8695, 0.2500, 0.6677)  1 Na 4.39
Rb (0.4092, 0.9908, 0.7242)  1 Na 4.29, 2 Rb 4.38-4.72
Rb (0.4092, 0.5092, 0.7242)  1 Na 4.29, 2 Rb 4.38-4.72
Rb (0.1305, 0.7500, 0.3323)  1 Na 4.39
Na (0.2187, 0.7500, 0.1010)  4 Rb 4.23-4.39, 2 Cs 4.34-4.49
Na (0.7813, 0.2500, 0.8990)  4 Rb 4.23-4.39, 2 Cs 4.34-4.49